[1]
Density functional theory data (SCAN) for a crystal of ZrCuOs relaxed with PBEsol.

energy of formation	635	meV per atom
total magnetization	0.0	Bohr magnetons per cell

Cell: 4.2915 4.2915 4.2915 Å, 60.00 60.00 60.00°
Closest atoms and distances in Å follow each position.
Fractional coordinates of all 3 atoms:
Cu1 0.0000 0.0000 0.0000  4 Zr 2.63
Os1 0.5000 0.5000 0.5000  4 Zr 2.63
Zr1 0.2500 0.2500 0.2500  4 Os 2.63, 4 Cu 2.63

[2]
Density functional theory data (SCAN) for a crystal of ZrCu2Os relaxed with PBEsol.

energy of formation	104	meV per atom
total magnetization	0.0	Bohr magnetons per cell

Cell: 2.7521 4.7729 4.6887 Å, 102.31 90.00 106.76°
Closest atoms and distances in Å follow each position.
Fractional coordinates of all 4 atoms:
Cu1 0.9857 0.9713 0.9824  4 Cu 2.54-2.75, 4 Os 2.62-2.84, 3 Zr 2.75-2.78
Cu2 0.2558 0.5116 0.7512  4 Cu 2.54-2.75, 3 Os 2.62-2.81, 4 Zr 2.71-2.73
Os1 0.5142 0.0283 0.5216  7 Cu 2.62-2.84, 3 Zr 2.71-2.87, 2 Os 2.75
Zr1 0.7443 0.4887 0.2448  3 Os 2.71-2.87, 7 Cu 2.71-2.78, 2 Zr 2.75

[3]
Density functional theory data (SCAN) for a crystal of Zr2CuOs relaxed with PBEsol.

energy of formation	-481	meV per atom
total magnetization	0.0	Bohr magnetons per cell

Cell: 3.2097 4.6036 4.6036 Å, 90.00 90.00 90.00°
Closest atoms and distances in Å follow each position.
Fractional coordinates of all 4 atoms:
Os1 0.5000 0.0000 0.0000  8 Zr 2.81
Cu1 0.5000 0.5000 0.5000  8 Zr 2.81
Zr1 0.0000 0.0000 0.5000  4 Os 2.81, 4 Cu 2.81
Zr2 0.0000 0.5000 0.0000  4 Os 2.81, 4 Cu 2.81

[4]
Density functional theory data (SCAN) for a crystal of ZrCu2Os relaxed with PBEsol.

energy of formation	74	meV per atom
total magnetization	0.0	Bohr magnetons per cell

Cell: 3.3166 3.3166 5.2619 Å, 90.00 90.00 90.00°
Closest atoms and distances in Å follow each position.
Fractional coordinates of all 4 atoms:
Cu1 0.0000 0.0000 0.7653  1 Cu 2.47, 4 Os 2.65, 4 Zr 2.73
Cu2 0.0000 0.0000 0.2347  1 Cu 2.47, 4 Os 2.65, 4 Zr 2.73
Os1 0.5000 0.5000 0.0000  2 Zr 2.63, 8 Cu 2.65
Zr1 0.5000 0.5000 0.5000  2 Os 2.63, 8 Cu 2.73

[5]
Density functional theory data (SCAN) for a crystal of ZrCu2Os relaxed with PBEsol.

energy of formation	-67	meV per atom
total magnetization	0.0	Bohr magnetons per cell

Cell: 3.8676 3.8676 4.7405 Å, 114.08 114.08 90.00°
Closest atoms and distances in Å follow each position.
Fractional coordinates of all 4 atoms:
Cu1 0.0000 0.0000 0.0000  4 Os 2.73, 4 Zr 2.74, 4 Cu 2.74
Cu2 0.7500 0.2500 0.5000  4 Zr 2.73, 4 Os 2.74, 4 Cu 2.74
Os1 0.5000 0.5000 0.0000  8 Cu 2.73-2.74, 4 Zr 2.74
Zr1 0.2500 0.7500 0.5000  8 Cu 2.73-2.74, 4 Os 2.74

[6]
Density functional theory data (SCAN) for a crystal of ZrCu2Os relaxed with PBEsol.

energy of formation	22	meV per atom
total magnetization	0.0	Bohr magnetons per cell

Cell: 4.3730 4.3730 4.3730 Å, 60.00 60.00 60.00°
Closest atoms and distances in Å follow each position.
Fractional coordinates of all 4 atoms:
Cu1 0.0000 0.0000 0.0000  4 Zr 2.68, 4 Cu 2.68
Cu2 0.7500 0.7500 0.7500  4 Os 2.68, 4 Cu 2.68
Os1 0.5000 0.5000 0.5000  4 Zr 2.68, 4 Cu 2.68
Zr1 0.2500 0.2500 0.2500  4 Os 2.68, 4 Cu 2.68

[7]
Density functional theory data (SCAN) for a crystal of CuP3 relaxed with PBEsol.

energy of formation	728	meV per atom
total magnetization	0.0	Bohr magnetons per cell

Cell: 2.5401 3.9817 5.4485 Å, 90.00 90.00 90.00°
Closest atoms and distances in Å follow each position.
Fractional coordinates of all 4 atoms:
Cu1 0.0000 0.0000 0.0000  2 Cu 2.54, 10 P 2.63-2.72
P1 0.5000 0.5000 0.7878  3 P 2.31-2.54
P2 0.0000 0.0000 0.5000  10 P 2.54-2.83, 2 Cu 2.72
P3 0.5000 0.5000 0.2122  3 P 2.31-2.54

[8]
Density functional theory data (SCAN) for a crystal of Cu7P relaxed with PBEsol.

energy of formation	28	meV per atom
total magnetization	0.0	Bohr magnetons per cell

Cell: 5.0509 5.0509 5.0509 Å, 60.00 60.00 60.00°
Closest atoms and distances in Å follow each position.
Fractional coordinates of all 8 atoms:
Cu1 0.0000 0.0000 0.5000  10 Cu 2.53, 2 P 2.53
Cu2 0.0000 0.5000 0.0000  10 Cu 2.53, 2 P 2.53
Cu3 0.5000 0.0000 0.0000  10 Cu 2.53, 2 P 2.53
Cu4 0.5000 0.5000 0.0000  10 Cu 2.53, 2 P 2.53
Cu5 0.5000 0.0000 0.5000  10 Cu 2.53, 2 P 2.53
Cu6 0.0000 0.5000 0.5000  10 Cu 2.53, 2 P 2.53
Cu7 0.5000 0.5000 0.5000  12 Cu 2.53
P1 0.0000 0.0000 0.0000  12 Cu 2.53